K2YSe after structural relaxation, computed with PBE.

ΔE_f (raw), eV/f.u.: -0.3
Space-group type: R-3m (166)

a b c (Å): 12.1497 12.1497 12.1497
angles (deg): 18.95 18.95 18.95
With the nearest neighbours (Å) after each atom.
Fractional positions:
1 K 0.9748 0.9748 0.9748  3 Se 3.11
2 K 0.5252 0.5252 0.5252  3 Se 3.11
3 Se 0.2500 0.2500 0.2500  6 K 3.11
4 Y 0.7500 0.7500 0.7500  6 Y 4.00

La2HgBi after structural relaxation, computed with PBE.

Formation energy from the elements, eV per atom: -0.4817
Space-group type: I-42d (122)
Energy above the lowest structure with this stoichiometry, meV/atom: 224

a b c (Å): 8.6307 8.6307 7.1505
angles (deg): 52.88 52.88 90.00
With the nearest neighbours (Å) after each atom.
Fractional positions:
1 La 0.6170 0.1250 0.2500  2 Hg 3.14, 2 Bi 3.24
2 La 0.1330 0.6250 0.2500  2 Hg 3.14, 2 Bi 3.24
3 La 0.3750 0.3830 0.7500  2 Hg 3.14, 2 Bi 3.24
4 La 0.8750 0.8670 0.7500  2 Hg 3.14, 2 Bi 3.24
5 Bi 0.0000 0.0000 0.0000  4 La 3.24
6 Bi 0.7500 0.2500 0.5000  4 La 3.24
7 Hg 0.5000 0.5000 0.0000  4 La 3.14
8 Hg 0.2500 0.7500 0.5000  4 La 3.14

Ca3Zn4Pd2 after structural relaxation, computed with PBE.

Formation energy from the elements, eV per atom: -0.4696
Space-group type: C2/m (12)

a b c (Å): 4.4675 5.7560 8.7421
angles (deg): 109.75 90.00 112.83
With the nearest neighbours (Å) after each atom.
Fractional positions:
1 Ca 0.6431 0.2863 0.6841  8 Zn 3.07-3.29, 4 Pd 3.12-3.31
2 Ca 0.0000 0.0000 0.0000  8 Zn 3.15-3.48, 4 Pd 3.41
3 Ca 0.3569 0.7137 0.3159  8 Zn 3.07-3.29, 4 Pd 3.12-3.31
4 Zn 0.7221 0.4442 0.0591  1 Pd 2.57, 2 Zn 2.62
5 Zn 0.2779 0.5558 0.9409  1 Pd 2.57, 2 Zn 2.62
6 Zn 0.8990 0.7980 0.5739  3 Pd 2.59-2.81, 1 Zn 2.88
7 Zn 0.1010 0.2020 0.4261  3 Pd 2.59-2.81, 1 Zn 2.88
8 Pd 0.6492 0.2984 0.3086  4 Zn 2.57-2.81
9 Pd 0.3508 0.7016 0.6914  4 Zn 2.57-2.81

SrHg2Cl after structural relaxation, computed with PBE.

ΔE_f (raw), eV/f.u.: -3.7
Space-group type: C2/m (12)
Energy above the lowest structure with this stoichiometry, meV/atom: 12

a b c (Å): 4.3453 7.0444 4.3329
angles (deg): 72.60 88.41 107.45
With the nearest neighbours (Å) after each atom.
Fractional positions:
1 Cl 0.5000 0.5000 0.0000  4 Sr 3.03-3.11
2 Hg 0.0000 0.0000 0.0000  4 Hg 3.03-3.11
3 Hg 0.5000 0.0000 0.5000  4 Hg 3.03-3.11
4 Sr 0.0000 0.5000 0.5000  4 Cl 3.03-3.11

Pm3YHoTh after structural relaxation, computed with PBE.

Formation energy from the elements, eV per atom: 0.0303
Space-group type: P2_1/m (11)

a b c (Å): 5.1020 8.0621 10.8420
angles (deg): 116.70 90.00 90.00
With the nearest neighbours (Å) after each atom.
Fractional positions:
1 Pm 0.7500 0.8667 0.0450  1 Ho 3.52, 3 Th 3.53-3.55, 3 Y 3.60-3.70, 5 Pm 3.61-3.74
2 Pm 0.2500 0.1333 0.9550  1 Ho 3.52, 3 Th 3.53-3.55, 3 Y 3.60-3.70, 5 Pm 3.61-3.74
3 Pm 0.2500 0.6284 0.4566  3 Ho 3.59, 5 Pm 3.60-3.70, 1 Th 3.60, 3 Y 3.61-3.65
4 Pm 0.7500 0.3716 0.5434  3 Ho 3.59, 5 Pm 3.60-3.70, 1 Th 3.60, 3 Y 3.61-3.65
5 Pm 0.7500 0.3839 0.2061  1 Ho 3.53, 3 Th 3.54-3.55, 6 Pm 3.60-3.73, 2 Y 3.69
6 Pm 0.2500 0.6161 0.7939  1 Ho 3.53, 3 Th 3.54-3.55, 6 Pm 3.60-3.73, 2 Y 3.69
7 Y 0.2500 0.1215 0.2926  3 Ho 3.58-3.62, 1 Th 3.59, 8 Pm 3.60-3.70
8 Y 0.7500 0.8785 0.7074  3 Ho 3.58-3.62, 1 Th 3.59, 8 Pm 3.60-3.70
9 Ho 0.2500 0.1266 0.6279  5 Pm 3.52-3.59, 3 Y 3.58-3.62, 2 Th 3.60, 2 Ho 3.64
10 Ho 0.7500 0.8734 0.3721  5 Pm 3.52-3.59, 3 Y 3.58-3.62, 2 Th 3.60, 2 Ho 3.64
11 Th 0.2500 0.6228 0.1227  7 Pm 3.53-3.60, 2 Th 3.57, 1 Y 3.59, 2 Ho 3.60
12 Th 0.7500 0.3772 0.8773  7 Pm 3.53-3.60, 2 Th 3.57, 1 Y 3.59, 2 Ho 3.60

Sm3HoTm3 after structural relaxation, computed with PBE.

Formation energy from the elements, eV per atom: 0.0151
Space-group type: P6_3/m (176)
Energy above the lowest structure with this stoichiometry, meV/atom: 0

a b c (Å): 5.6809 9.5494 9.5487
angles (deg): 120.00 90.00 90.00
With the nearest neighbours (Å) after each atom.
Fractional positions:
1 Sm 0.7500 0.7579 0.8066  5 Tm 3.51-3.63, 6 Sm 3.54-3.67, 1 Ho 3.58
2 Sm 0.7500 0.0487 0.2422  5 Tm 3.51-3.63, 6 Sm 3.54-3.67, 1 Ho 3.58
3 Sm 0.7500 0.1936 0.9511  5 Tm 3.51-3.63, 6 Sm 3.54-3.67, 1 Ho 3.58
4 Sm 0.2500 0.2421 0.1934  5 Tm 3.51-3.63, 6 Sm 3.54-3.67, 1 Ho 3.58
5 Sm 0.2500 0.9513 0.7578  5 Tm 3.51-3.63, 6 Sm 3.54-3.67, 1 Ho 3.58
6 Sm 0.2500 0.8064 0.0489  5 Tm 3.51-3.63, 6 Sm 3.54-3.67, 1 Ho 3.58
7 Ho 0.7500 0.3334 0.6666  9 Tm 3.52-3.61, 3 Sm 3.58
8 Ho 0.2500 0.6666 0.3334  9 Tm 3.52-3.61, 3 Sm 3.58
9 Tm 0.2500 0.5220 0.6169  4 Tm 3.51-3.60, 5 Sm 3.51-3.63, 3 Ho 3.52-3.60
10 Tm 0.2500 0.0951 0.4781  4 Tm 3.51-3.60, 5 Sm 3.51-3.63, 3 Ho 3.52-3.61
11 Tm 0.2500 0.3831 0.9050  4 Tm 3.51-3.60, 5 Sm 3.51-3.63, 3 Ho 3.52-3.60
12 Tm 0.7500 0.4780 0.3831  4 Tm 3.51-3.60, 5 Sm 3.51-3.63, 3 Ho 3.52-3.60
13 Tm 0.7500 0.9049 0.5219  4 Tm 3.51-3.60, 5 Sm 3.51-3.63, 3 Ho 3.52-3.61
14 Tm 0.7500 0.6169 0.0950  4 Tm 3.51-3.60, 5 Sm 3.51-3.63, 3 Ho 3.52-3.60

Dy12Ho7Sn after structural relaxation, computed with PBE.

Formation energy from the elements, eV per atom: 0.1533
Space-group type: R-3 (148)

a b c (Å): 8.6884 8.6884 8.6884
angles (deg): 89.04 89.04 89.04
With the nearest neighbours (Å) after each atom.
Fractional positions:
1 Dy 0.0082 0.3352 0.8887  1 Sn 3.05, 3 Ho 3.30-3.38
2 Dy 0.6648 0.1113 0.9918  1 Sn 3.05, 3 Ho 3.30-3.38
3 Dy 0.4698 0.1252 0.3415  6 Dy 3.46-3.79, 5 Ho 3.57-3.67
4 Dy 0.8748 0.6585 0.5302  6 Dy 3.46-3.79, 5 Ho 3.57-3.67
5 Dy 0.1113 0.9918 0.6648  1 Sn 3.05, 3 Ho 3.30-3.38
6 Dy 0.6585 0.5302 0.8748  6 Dy 3.46-3.79, 5 Ho 3.57-3.67
7 Dy 0.3415 0.4698 0.1252  6 Dy 3.46-3.79, 5 Ho 3.57-3.67
8 Dy 0.8887 0.0082 0.3352  1 Sn 3.05, 3 Ho 3.30-3.38
9 Dy 0.1252 0.3415 0.4698  6 Dy 3.46-3.79, 5 Ho 3.57-3.67
10 Dy 0.5302 0.8748 0.6585  6 Dy 3.46-3.79, 5 Ho 3.57-3.67
11 Dy 0.3352 0.8887 0.0082  1 Sn 3.05, 3 Ho 3.30-3.38
12 Dy 0.9918 0.6648 0.1113  1 Sn 3.05, 3 Ho 3.30-3.38
13 Ho 0.2164 0.6267 0.7604  8 Dy 3.30-3.67, 3 Ho 3.49-3.61
14 Ho 0.3733 0.2396 0.7836  8 Dy 3.30-3.67, 3 Ho 3.49-3.61
15 Ho 0.2396 0.7836 0.3733  8 Dy 3.30-3.67, 3 Ho 3.49-3.61
16 Ho 0.5000 0.5000 0.5000  6 Ho 3.49, 6 Dy 3.57
17 Ho 0.7604 0.2164 0.6267  8 Dy 3.30-3.67, 3 Ho 3.49-3.61
18 Ho 0.6267 0.7604 0.2164  8 Dy 3.30-3.67, 3 Ho 3.49-3.61
19 Ho 0.7836 0.3733 0.2396  8 Dy 3.30-3.67, 3 Ho 3.49-3.61
20 Sn 0.0000 0.0000 0.0000  6 Dy 3.05

Sm2TlZn3 after structural relaxation, computed with PBE.

Formation energy from the elements, eV per atom: -0.3392
Space-group type: Fmmm (69)

a b c (Å): 5.9353 5.9353 8.8481
angles (deg): 105.06 105.06 103.02
With the nearest neighbours (Å) after each atom.
Fractional positions:
1 Sm 0.2500 0.7500 0.5000  4 Tl 3.26, 8 Zn 3.29-3.30
2 Sm 0.7566 0.7566 0.0000  10 Zn 3.15-3.31, 2 Tl 3.27
3 Sm 0.7500 0.2500 0.5000  4 Tl 3.26, 8 Zn 3.29-3.30
4 Sm 0.2434 0.2434 0.0000  10 Zn 3.15-3.31, 2 Tl 3.27
5 Tl 0.6654 0.6654 0.3309  3 Zn 2.76-2.79
6 Tl 0.3346 0.3346 0.6691  3 Zn 2.76-2.79
7 Zn 0.3221 0.8378 0.1598  2 Zn 2.57-2.60, 1 Tl 2.76
8 Zn 0.1622 0.6779 0.8402  2 Zn 2.57-2.60, 1 Tl 2.76
9 Zn 0.6779 0.1622 0.8402  2 Zn 2.57-2.60, 1 Tl 2.76
10 Zn 0.8378 0.3221 0.1598  2 Zn 2.57-2.60, 1 Tl 2.76
11 Zn 0.1612 0.1612 0.3223  2 Zn 2.60, 1 Tl 2.79
12 Zn 0.8388 0.8388 0.6777  2 Zn 2.60, 1 Tl 2.79

ZnIn2Br after structural relaxation, computed with PBE.

ΔE_f (raw), eV/f.u.: -0.2
Space-group type: I4/mmm (139)
Energy above the lowest structure with this stoichiometry, meV/atom: 89

a b c (Å): 5.9078 5.9078 5.9078
angles (deg): 132.56 132.56 69.34
With the nearest neighbours (Å) after each atom.
Fractional positions:
1 Br 0.7500 0.2500 0.5000  4 Zn 3.36, 8 In 3.40
2 In 0.0000 0.0000 0.0000  4 In 3.36, 4 Br 3.40, 4 Zn 3.40
3 In 0.5000 0.5000 0.0000  4 In 3.36, 4 Br 3.40, 4 Zn 3.40
4 Zn 0.2500 0.7500 0.5000  4 Br 3.36, 8 In 3.40

RbCaSi3 after structural relaxation, computed with PBE.

ΔE_f (raw), eV/f.u.: 8.1
Space-group type: Pm-3m (221)
Energy above the lowest structure with this stoichiometry, meV/atom: 635

a b c (Å): 5.4696 5.4696 5.4696
angles (deg): 90.00 90.00 90.00
With the nearest neighbours (Å) after each atom.
Fractional positions:
1 Ca 0.5000 0.5000 0.5000  12 Si 3.87
2 Si 0.0000 0.5000 0.0000  2 Rb 2.73
3 Si 0.0000 0.0000 0.5000  2 Rb 2.73
4 Si 0.5000 0.0000 0.0000  2 Rb 2.73
5 Rb 0.0000 0.0000 0.0000  6 Si 2.73

One value per record, in order, for E_tot: -3.107, -3.991, -2.857, -1.955, -5.422, -4.578, -4.410, -2.944, -2.162, -2.229 eV per atom.
One value per record, in order, for size of the total moment: 1.62, 0.64, 0.00, 0.00, 0.00, 0.00, 0.00, 0.00, 0.00, 0.00 μB/f.u..